Entry 1:
# PmSc4Bi5

A relaxed structure of PmSc4Bi5 (GGA-PBE, Alexandria).

Lattice parameters (Å, degrees): 4.325 6.160 11.448 105.61 100.89 90.00
Positions (direct):
Bi (0.802, 0.302, 0.604)
Sc (0.796, 0.796, 0.591)
Bi (0.608, 0.108, 0.217)
Sc (0.204, 0.204, 0.409)
Bi (0.198, 0.698, 0.396)
Sc (0.600, 0.600, 0.200)
Pm (0.000, 0.000, 0.000)
Sc (0.400, 0.400, 0.800)
Bi (0.000, 0.500, 0.000)
Bi (0.392, 0.892, 0.783)

The calculation puts the total energy at -5.65 eV/atom. The density of states at the Fermi level is 1.90 states/eV/cell. For the formation energy, the calculation gives -0.70 eV/atom. The symmetry is No. 71.

***

Entry 2:
# Er4N3F

A relaxed structure of Er4N3F (GGA-PBE, Alexandria).

Lattice parameters (Å, degrees): 3.422 5.950 5.950 71.02 90.00 90.00
Positions (direct):
Er (0.000, 0.230, 0.270)
Er (0.000, 0.770, 0.730)
Er (0.500, 0.759, 0.259)
F (0.500, 0.500, 0.000)
N (0.000, 0.000, 0.000)
Er (0.500, 0.241, 0.741)
N (0.000, 0.500, 0.500)
N (0.500, 0.000, 0.500)

As for the formation energy without anion corrections: -15.5 eV/f.u. The calculation puts the total energy at -7.58 eV/atom. The density of states at the Fermi level is 1.93 states/eV/cell. The symmetry is No. 65.

***

Entry 3:
# Rb2MgPbBr6

A relaxed structure of Rb2MgPbBr6 (GGA-PBE, Alexandria).

Lattice parameters (Å, degrees): 8.021 8.021 8.020 60.00 60.00 90.00
Positions (direct):
Br (0.263, 0.263, 0.474)
Br (0.737, 0.737, 0.526)
Rb (0.750, 0.250, 0.500)
Br (0.737, 0.737, 0.000)
Rb (0.250, 0.750, 0.500)
Br (0.263, 0.263, 0.000)
Br (0.263, 0.737, 0.000)
Br (0.737, 0.263, 0.000)
Mg (0.500, 0.500, 0.000)
Pb (0.000, 0.000, 0.000)

As for the formation energy without anion corrections: -14.0 eV/f.u. The calculation puts the total energy at -3.12 eV/atom. Its energy above the most stable polymorph in this dataset is 23 meV/atom. The density of states at the Fermi level is 0.00 states/eV/cell. The symmetry is No. 225.

***

Entry 4:
# UCdRh5

A relaxed structure of UCdRh5 (GGA-PBE, Alexandria).

Lattice parameters (Å, degrees): 3.910 3.910 7.802 90.00 90.00 90.00
Positions (direct):
Rh (0.500, 0.000, 0.230)
Rh (0.000, 0.500, 0.230)
Rh (0.500, 0.000, 0.770)
Rh (0.000, 0.500, 0.770)
U (0.500, 0.500, 0.000)
Cd (0.000, 0.000, 0.500)
Rh (0.500, 0.500, 0.500)

The calculation puts the total energy at -7.20 eV/atom. The density of states at the Fermi level is 6.24 states/eV/cell. For the formation energy, the calculation gives -0.21 eV/atom. The symmetry is No. 123.

***

Entry 5:
# BeNbAg3

A relaxed structure of BeNbAg3 (GGA-PBE, Alexandria).

Lattice parameters (Å, degrees): 5.174 5.174 5.174 90.00 90.00 90.00
Positions (direct):
Nb (0.000, 0.000, 0.000)
Ag (0.000, 0.500, 0.000)
Ag (0.000, 0.000, 0.500)
Be (0.500, 0.500, 0.500)
Ag (0.500, 0.000, 0.000)

The calculation puts the total energy at -2.57 eV/atom. Its energy above the most stable polymorph in this dataset is 1254 meV/atom. The density of states at the Fermi level is 3.90 states/eV/cell. For the formation energy, the calculation gives 1.90 eV/atom. The symmetry is No. 221.

***

Entry 6:
# BaLiCdPb2

A relaxed structure of BaLiCdPb2 (GGA-PBE, Alexandria).

Lattice parameters (Å, degrees): 5.369 5.369 5.255 90.00 90.00 90.00
Positions (direct):
Cd (0.000, 0.000, 0.500)
Li (0.000, 0.000, 0.000)
Pb (0.000, 0.500, 0.000)
Ba (0.500, 0.500, 0.500)
Pb (0.500, 0.000, 0.000)

The calculation puts the total energy at -2.67 eV/atom. Its energy above the most stable polymorph in this dataset is 149 meV/atom. The density of states at the Fermi level is 3.43 states/eV/cell. For the formation energy, the calculation gives -0.23 eV/atom. The symmetry is No. 123.